Li3V3O5F3 | PBE+U | relaxed

Computed properties:
Calculated total energy ... -91.6 eV/f.u.
Mass density ... 3.4 g cm⁻³
Crystal system ... monoclinic

Unit cell a=5.965 b=5.965 c=5.866 alpha=119.35 beta=119.35 gamma=60.92
Fractional coordinates of all 14 atoms:
Li 0.000 0.000 0.000
Li 0.005 0.005 0.502
Li 0.380 0.380 0.645
V 0.011 0.503 0.995
V 0.503 0.011 0.995
V 0.621 0.621 0.366
O 0.242 0.242 0.772
O 0.250 0.729 0.241
O 0.729 0.250 0.241
O 0.746 0.746 0.228
O 0.750 0.750 0.752
F 0.245 0.245 0.238
F 0.255 0.777 0.772
F 0.777 0.255 0.772